No. 1
DFT (PBE-GGA) results for a relaxed structure of Rb4OsO4.

Output
Space-group type: I4/m, No. 87
Energy: -5.12 eV per atom
Formation energy (no corrections): -1234.5 meV per atom

Lattice parameters (Å, degrees): 5.746 8.318 8.318 90.00 90.00 90.00
Each line ends with the local moment (μB).
Atoms (fractional coordinates):
1 O 0.250 0.683 0.529  0.13
2 O 0.750 0.471 0.183  0.13
3 O 0.250 0.817 0.971  0.13
4 O 0.750 0.183 0.029  0.13
5 O 0.250 0.971 0.683  0.13
6 O 0.750 0.029 0.317  0.13
7 O 0.250 0.529 0.817  0.13
8 O 0.750 0.317 0.471  0.13
9 Rb 0.750 0.458 0.852  0.00
10 Rb 0.250 0.148 0.958  0.00
11 Rb 0.750 0.042 0.648  0.00
12 Rb 0.250 0.352 0.542  0.00
13 Rb 0.750 0.648 0.458  0.00
14 Rb 0.750 0.852 0.042  0.00
15 Rb 0.250 0.542 0.148  0.00
16 Rb 0.250 0.958 0.352  0.00
17 Os 0.750 0.250 0.250  1.28
18 Os 0.250 0.750 0.750  1.28

No. 2
DFT (PBE-GGA) results for a relaxed structure of BiPPtBr2.

Output
Space-group type: P4/mmm, No. 123
Energy: -3.07 eV per atom
DOS at the Fermi energy: 3.95 states/eV per cell
Formation energy (no corrections): 666.9 meV per atom

Lattice parameters (Å, degrees): 4.743 5.949 4.743 90.00 90.00 90.00
Atoms (fractional coordinates):
1 P 0.000 0.000 0.000
2 Br 0.500 0.000 0.000
3 Br 0.000 0.000 0.500
4 Pt 0.500 0.500 0.500
5 Bi 0.000 0.500 0.000

No. 3
DFT (PBE-GGA) results for a relaxed structure of GaSnRu3.

Output
Space-group type: Pm-3m, No. 221
Energy: -6.03 eV per atom
DOS at the Fermi energy: 8.48 states/eV per cell
Polymorph energy (0 for the lowest one): 0.00 eV per formula unit
ΔE_f: 0.9417 eV per atom

Lattice parameters (Å, degrees): 4.537 4.537 4.537 90.00 90.00 90.00
Each line ends with the local moment (μB).
Atoms (fractional coordinates):
1 Ru 0.000 0.000 0.500  0.43
2 Ru 0.000 0.500 0.000  0.28
3 Ru 0.500 0.000 0.000  0.24
4 Sn 0.500 0.500 0.500  -0.02
5 Ga 0.000 0.000 0.000  -0.02

No. 4
DFT (PBE-GGA) results for a relaxed structure of B2BrCl.

Output
Space-group type: Fm-3m, No. 225
Energy: -2.38 eV per atom
DOS at the Fermi energy: 0.06 states/eV per cell
Polymorph energy (0 for the lowest one): 0.73 eV per formula unit
Formation energy (no corrections): 1838.6 meV per atom

Lattice parameters (Å, degrees): 4.736 4.736 4.736 60.00 60.00 60.00
Atoms (fractional coordinates):
1 Br 0.500 0.500 0.500
2 B 0.250 0.250 0.250
3 B 0.750 0.750 0.750
4 Cl 0.000 0.000 0.000

No. 5
DFT (PBE-GGA) results for a relaxed structure of Pm2InPd6.

Output
Space-group type: P-3m1, No. 164
Energy: -5.53 eV per atom
DOS at the Fermi energy: 3.34 states/eV per cell
Polymorph energy (0 for the lowest one): 0.00 eV per formula unit
ΔE_f: -0.7053 eV per atom

Lattice parameters (Å, degrees): 6.095 5.814 5.814 120.00 90.00 90.00
Atoms (fractional coordinates):
1 Pm 0.307 0.667 0.333
2 Pm 0.693 0.333 0.667
3 Pd 0.822 0.824 0.176
4 Pd 0.178 0.176 0.351
5 Pd 0.822 0.824 0.649
6 Pd 0.822 0.351 0.176
7 Pd 0.178 0.176 0.824
8 Pd 0.178 0.649 0.824
9 In 0.500 0.000 0.000

No. 6
DFT (PBE-GGA) results for a relaxed structure of TaCd2Si4.

Output
Space-group type: I4/mmm, No. 139
Energy: -4.38 eV per atom
DOS at the Fermi energy: 3.60 states/eV per cell
Formation energy (no corrections): 678.5 meV per atom

Lattice parameters (Å, degrees): 5.015 5.015 7.479 70.41 70.41 90.00
Atoms (fractional coordinates):
1 Cd 0.383 0.383 0.234
2 Cd 0.617 0.617 0.766
3 Si 0.000 0.500 0.000
4 Si 0.188 0.188 0.623
5 Si 0.812 0.812 0.377
6 Si 0.500 0.000 0.000
7 Ta 0.000 0.000 0.000